*A*
Computed, not measured: a relaxed RbTaAs2Br crystal at the PBE level of DFT.

extended XYZ file:
```
5
Lattice="5.476 0.000 0.000 0.000 5.476 0.000 0.000 0.000 5.648" Properties=species:S:1:pos:R:3 pbc="T T T"
Rb 0.000 0.000 0.000
As 2.738 0.000 0.000
As 0.000 2.738 0.000
Br 0.000 0.000 2.824
Ta 2.738 2.738 2.824
```

Computed properties:
**Calculated volume**: 169.3 Å³/f.u.


*B*
Computed, not measured: a relaxed RbTaAs2Br crystal at the PBE level of DFT.

extended XYZ file:
```
5
Lattice="5.013 0.000 0.000 0.000 5.013 0.000 0.000 0.000 5.654" Properties=species:S:1:pos:R:3 pbc="T T T"
Ta 0.000 0.000 0.000
Rb 2.506 2.506 2.827
As 2.506 0.000 0.000
As 0.000 2.506 0.000
Br 0.000 0.000 2.827
```

Computed properties:
**Calculated volume**: 142.1 Å³/f.u.


The structure with the most favorable energy is *B*; the runner-up is 2.356 eV/atom above it.


*A*
Computed, not measured: a relaxed RbTcAsBr2 crystal at the PBE level of DFT.

extended XYZ file:
```
5
Lattice="-3.983 0.193 -5.033 5.012 -0.488 -3.985 -0.497 -6.334 0.151" Properties=species:S:1:pos:R:3 pbc="T T T"
Tc 0.266 -3.315 -4.434
Br 2.506 -0.244 -1.993
Br -1.992 0.097 -2.517
Rb 0.000 0.000 0.000
As -0.249 -3.167 0.075
```

Computed properties:
**Calculated volume**: 262.1 Å³/f.u.


*B*
Computed, not measured: a relaxed RbTcAsBr2 crystal at the PBE level of DFT.

extended XYZ file:
```
5
Lattice="-4.559 0.423 -3.119 2.945 -1.365 -4.489 -0.953 -4.591 0.770" Properties=species:S:1:pos:R:3 pbc="T T T"
Br 1.473 -0.682 -2.245
Br -2.279 0.211 -1.560
As -0.476 -2.295 0.385
Tc 0.000 0.000 0.000
Rb -1.283 -2.766 -3.419
```

Computed properties:
**Calculated volume**: 145.8 Å³/f.u.


The structure with the most favorable energy is *B*; the runner-up is 1.547 eV/atom above it.


*A*
Computed, not measured: a relaxed RbTeAsBr2 crystal at the PBE level of DFT.

extended XYZ file:
```
5
Lattice="6.322 0.000 0.000 0.000 6.322 0.000 0.000 0.000 6.721" Properties=species:S:1:pos:R:3 pbc="T T T"
Br 3.161 0.000 0.000
Br 0.000 3.161 0.000
As 0.000 0.000 3.361
Rb 0.000 0.000 0.000
Te 3.161 3.161 3.361
```

Computed properties:
**Calculated volume**: 268.6 Å³/f.u.


*B*
Computed, not measured: a relaxed RbTeAsBr2 crystal at the PBE level of DFT.

extended XYZ file:
```
5
Lattice="-2.291 -5.659 0.421 5.605 -2.186 1.122 -0.746 0.677 5.046" Properties=species:S:1:pos:R:3 pbc="T T T"
Br 2.803 -1.093 0.561
Br -1.146 -2.830 0.211
Te 0.000 0.000 0.000
Rb 1.284 -3.584 3.294
As -0.373 0.339 2.523
```

Computed properties:
**Calculated volume**: 192.7 Å³/f.u.


The structure with the most favorable energy is *B*; the runner-up is 0.878 eV/atom above it.